# Dy4TeAu, relaxed, DFT GGA-PBE
# uncorrected formation energy: -2.98 eV/f.u.
# magnetic moment: 0.000 μB per atom
data_Dy4TeAu
_chemical_formula_sum 'Dy8 Te2 Au2'
_symmetry_space_group_name_H-M 'P 1 21/m 1'
_symmetry_Int_Tables_number 11
_cell_length_a 5.968
_cell_length_b 8.305
_cell_length_c 7.880
_cell_angle_alpha 90.00
_cell_angle_beta 107.30
_cell_angle_gamma 90.00
loop_
_symmetry_equiv_pos_as_xyz
'x,y,z'
'-x,-y,-z'
'-x,y+1/2,-z'
'x,-y+1/2,z'
loop_
_atom_site_label
_atom_site_fract_x
_atom_site_fract_y
_atom_site_fract_z
_atom_site_occupancy
Dy1 0.029 0.044 0.237 1
Dy2 0.412 0.250 0.003 1
Dy3 0.425 0.750 0.500 1
Te1 0.114 0.250 0.578 1
Au1 0.152 0.750 0.080 1